1.
## TlIrPt4 (GGA-PBE)

Data for crystalline TlIrPt4 at its relaxed geometry.

Results
DFT formation energy (meV per atom): 424.2
Space group: F-43m, No. 216
DOS at the Fermi energy (states/eV per cell): 5.53
Uncorrected energy (eV/atom): -5.474

Unit cell a=5.301 b=5.301 c=5.301 alpha=60.00 beta=60.00 gamma=60.00
Sites, in units of the cell vectors:
Tl1 0.000 0.000 0.000
Ir1 0.750 0.750 0.750
Pt1 0.376 0.376 0.376
Pt2 0.376 0.376 0.873
Pt3 0.376 0.873 0.376
Pt4 0.873 0.376 0.376

2.
## Tl3IrPt (GGA-PBE)

Data for crystalline Tl3IrPt at its relaxed geometry.

Results
DFT formation energy (meV per atom): 564.5
Excess energy over the best structure of this formula in the dataset (eV per formula unit): 0.00
Space group: Pm-3m, No. 221
DOS at the Fermi energy (states/eV per cell): 2.63
Uncorrected energy (eV/atom): -3.836

Unit cell a=5.204 b=5.204 c=5.204 alpha=90.00 beta=90.00 gamma=90.00
Sites, in units of the cell vectors:
Tl1 0.000 0.000 0.500
Tl2 0.000 0.500 0.000
Tl3 0.500 0.000 0.000
Ir1 0.000 0.000 0.000
Pt1 0.500 0.500 0.500